(1)
15
Lattice="7.240 0.000 0.000 -3.620 6.018 -0.067 0.000 -4.035 6.243" Properties=species:S:1:pos:R:3 comment="PBE K3Ce3PdO8, relaxed" raw_formation_energy_ev_per_fu=-35.4 space_group="No. 12" volume_a3_per_atom=18.0 energy_ev_per_atom=-6.759 pbc="T T T"
O -1.552 2.855 4.229
O 3.620 2.020 2.082
O 2.067 -0.873 1.947
O 5.172 -0.873 1.947
O 1.552 2.855 4.229
O 3.620 0.000 4.293
O 0.000 -0.037 4.094
O 0.000 1.983 1.883
Pd 0.000 -2.018 3.121
K -1.810 3.009 -0.033
K 0.000 0.000 0.000
K 1.810 3.009 -0.033
Ce -1.810 0.991 3.088
Ce 1.810 0.991 3.088
Ce 3.620 -2.018 3.121

(2)
4
Lattice="5.131 0.000 0.000 2.565 4.443 0.000 2.565 1.481 4.189" Properties=species:S:1:pos:R:3 comment="PBE CrPbCl2, relaxed" raw_formation_energy_ev_per_fu=0.3 space_group="No. 216" volume_a3_per_atom=23.9 e_above_lowest_polymorph_mev_per_atom=602 energy_ev_per_atom=-4.183 pbc="T T T"
Cl 0.000 0.000 0.000
Cl 7.696 4.443 3.142
Pb 2.565 1.481 1.047
Cr 5.131 2.962 2.095

(3)
4
Lattice="-3.639 -7.527 3.436 -2.018 -6.826 5.573 -4.546 -5.715 5.328" Properties=species:S:1:pos:R:3 comment="PBE ScNiOs2, relaxed" space_group="No. 166" volume_a3_per_atom=14.8 e_above_lowest_polymorph_mev_per_atom=325 delta_e_f_ev_per_atom=0.24 energy_ev_per_atom=-8.405 pbc="T T T"
Os -5.168 -10.165 7.262
Os -10.137 -19.937 14.244
Ni -2.551 -5.017 3.584
Sc -7.653 -15.051 10.753

(4)
16
Lattice="-0.745 -0.007 -4.642 2.785 -3.762 -0.441 -16.053 -12.188 2.594" Properties=species:S:1:pos:R:3 comment="PBE Tl3In12Pb, relaxed" space_group="No. 123" volume_a3_per_atom=28.1 delta_e_f_ev_per_atom=0.04 energy_ev_per_atom=-2.688 pbc="T T T"
Tl -12.028 -9.132 1.944
Tl -8.026 -6.094 1.297
Tl -4.025 -3.056 0.650
In -12.657 -12.548 2.050
In -14.421 -10.670 -0.051
In -8.661 -9.514 1.404
In -0.611 -3.402 0.103
In -10.426 -7.637 -0.696
In -2.376 -1.525 -1.997
In -2.965 -4.910 -1.897
In 1.020 -1.885 -2.541
In -7.006 -7.978 -1.244
In -6.371 -4.558 -1.351
In -11.048 -11.047 -0.591
In -4.606 -6.435 0.749
Pb 0.000 0.000 0.000

(5)
4
Lattice="3.253 0.000 0.000 0.000 3.253 0.000 0.000 0.000 9.279" Properties=species:S:1:pos:R:3 comment="PBE BeSb2Br, relaxed" raw_formation_energy_ev_per_fu=1.4 space_group="No. 99" volume_a3_per_atom=24.5 e_above_lowest_polymorph_mev_per_atom=413 energy_ev_per_atom=-3.071 pbc="T T T"
Be 0.000 0.000 4.763
Br 1.626 1.626 6.005
Sb 1.626 1.626 2.786
Sb 0.000 0.000 0.364

(6)
4
Lattice="-0.434 1.573 -3.575 0.947 -3.365 -1.595 -4.503 -2.064 -0.362" Properties=species:S:1:pos:R:3 comment="PBE ReP2Se, relaxed" raw_formation_energy_ev_per_fu=0.9 space_group="No. 6" volume_a3_per_atom=18.5 energy_ev_per_atom=-6.472 pbc="T T T"
Se -2.857 -2.887 -3.084
P -0.687 -0.846 -2.449
P -0.687 -0.370 -0.079
Re -1.535 -2.468 -0.900

| no. | Fermi-level density of states (states/eV/cell) | total magnetization (Bohr magnetons per cell) | theoretical density (g/cm3) |
| --- | --- | --- | --- |
| 1 | 1.913 | 1.3 | 4.75 |
| 2 | 1.347 | 5.7 | 5.74 |
| 3 | 5.036 | 0.7 | 13.58 |
| 4 | 9.181 | 0.0 | 8.13 |
| 5 | 2.578 | 0.0 | 5.62 |
| 6 | 2.984 | 0.0 | 7.35 |